The following is a DFT calculation (PBE-GGA) of a relaxed Er3Sc2Ga4 crystal.

Cell: 10.6942 4.2609 9.1454 Å, 90.00 92.48 90.00°
Space group C2/m (No. 12)
Asymmetric unit:
Er 0.0000 0.0000 0.0000 (multiplicity 2)
Er 0.1228 0.5000 0.3867 (multiplicity 4)
Sc 0.1812 0.5000 0.7699 (multiplicity 4)
Ga 0.0804 0.0000 0.6153 (multiplicity 4)
Ga 0.1946 0.5000 0.0737 (multiplicity 4)

Summary:
Formation energy, eV per atom: -0.48

The following is a DFT calculation (PBE-GGA) of a relaxed ErScGa6 crystal.

Cell: 4.6741 6.0381 10.4322 Å, 90.00 90.00 90.00°
Space group Amm2 (No. 38)
Asymmetric unit:
Er 0.0000 0.0000 0.0000 (multiplicity 2)
Sc 0.5000 0.0000 0.6678 (multiplicity 2)
Ga 0.0000 0.0000 0.4912 (multiplicity 2)
Ga 0.0000 0.2351 0.2551 (multiplicity 4)
Ga 0.5000 0.0000 0.1821 (multiplicity 2)
Ga 0.5000 0.2266 0.4096 (multiplicity 4)

Summary:
Excess energy over the best structure of this formula in the dataset, meV per atom: 52
Formation energy, eV per atom: -0.46

The following is a DFT calculation (PBE-GGA) of a relaxed ErScGa4 crystal.

Cell: 4.3604 6.8697 7.5677 Å, 90.00 90.00 90.00°
Space group Immm (No. 71)
Asymmetric unit:
Er 0.0000 0.0000 0.0000 (multiplicity 2)
Sc 0.0000 0.5000 0.0000 (multiplicity 2)
Ga 0.0000 0.2395 0.3339 (multiplicity 8)

Summary:
Excess energy over the best structure of this formula in the dataset, meV per atom: 0
Formation energy, eV per atom: -0.57

The following is a DFT calculation (PBE-GGA) of a relaxed Er3ScGa2 crystal.

Cell: 6.1837 15.5363 6.1754 Å, 90.00 90.00 90.00°
Space group Ibam (No. 72)
Asymmetric unit:
Er 0.0000 0.0000 0.2500 (multiplicity 4)
Er 0.2439 0.3208 0.0000 (multiplicity 8)
Sc 0.0000 0.5000 0.2500 (multiplicity 4)
Ga 0.2418 0.3694 0.5000 (multiplicity 8)

Summary:
Formation energy, eV per atom: -0.39

The following is a DFT calculation (PBE-GGA) of a relaxed ErSc4Ga5 crystal.

Cell: 3.3978 3.3978 16.9499 Å, 90.00 90.00 90.00°
Space group P4/mmm (No. 123)
Asymmetric unit:
Er 0.0000 0.0000 0.0000 (multiplicity 1)
Sc 0.0000 0.0000 0.2077 (multiplicity 2)
Sc 0.0000 0.0000 0.4027 (multiplicity 2)
Ga 0.5000 0.5000 0.1109 (multiplicity 2)
Ga 0.5000 0.5000 0.3054 (multiplicity 2)
Ga 0.5000 0.5000 0.5000 (multiplicity 1)

Summary:
Formation energy, eV per atom: -0.59

The following is a DFT calculation (PBE-GGA) of a relaxed Er2ScGa crystal.

Cell: 4.6211 4.6211 4.5094 Å, 90.00 90.00 90.00°
Space group P4/mmm (No. 123)
Asymmetric unit:
Er 0.0000 0.5000 0.0000 (multiplicity 2)
Sc 0.0000 0.0000 0.5000 (multiplicity 1)
Ga 0.5000 0.5000 0.5000 (multiplicity 1)

Summary:
Excess energy over the best structure of this formula in the dataset, meV per atom: 15
Formation energy, eV per atom: -0.26

The following is a DFT calculation (PBE-GGA) of a relaxed ErSc4Ga4 crystal.

Cell: 8.7813 8.7813 5.5406 Å, 90.00 90.00 90.00°
Space group P4_2/n (No. 86, origin choice 2)
Asymmetric unit:
Er 0.2500 0.2500 0.2500 (multiplicity 2)
Sc 0.0836 0.6508 0.1306 (multiplicity 8)
Ga 0.0343 0.6119 0.6320 (multiplicity 8)

Summary:
Formation energy, eV per atom: -0.33

The following is a DFT calculation (PBE-GGA) of a relaxed ErSc2Ga crystal.

Cell: 4.1661 11.1278 8.4049 Å, 90.00 90.00 90.00°
Space group Cmcm (No. 63)
Asymmetric unit:
Er 0.0000 0.0567 0.2500 (multiplicity 4)
Sc 0.0000 0.3552 0.0571 (multiplicity 8)
Ga 0.0000 0.2430 0.7500 (multiplicity 4)

Summary:
Excess energy over the best structure of this formula in the dataset, meV per atom: 31
Formation energy, eV per atom: -0.28

The following is a DFT calculation (PBE-GGA) of a relaxed ErScGa crystal.

Cell: 4.8015 4.8015 3.5500 Å, 90.00 90.00 120.00°
Space group P3m1 (No. 156)
Asymmetric unit:
Er 0.0000 0.0000 0.0000 (multiplicity 1)
Sc 0.6667 0.3333 0.4965 (multiplicity 1)
Ga 0.3333 0.6667 0.5133 (multiplicity 1)

Summary:
Excess energy over the best structure of this formula in the dataset, meV per atom: 131
Formation energy, eV per atom: -0.32

The following is a DFT calculation (PBE-GGA) of a relaxed Er2ScGa crystal.

Cell: 3.3850 3.3850 33.7961 Å, 90.00 90.00 120.00°
Space group R-3m (No. 166, hexagonal axes)
Asymmetric unit:
Er 0.0000 0.0000 0.0880 (multiplicity 6)
Sc 0.0000 0.0000 0.5000 (multiplicity 3)
Ga 0.0000 0.0000 0.0000 (multiplicity 3)

Summary:
Excess energy over the best structure of this formula in the dataset, meV per atom: 404
Formation energy, eV per atom: 0.13

The following is a DFT calculation (PBE-GGA) of a relaxed ErSc2Ga crystal.

Cell: 4.2738 4.3856 10.4569 Å, 90.00 101.75 90.00°
Space group P2_1/m (No. 11)
Asymmetric unit:
Er 0.1940 0.2500 0.3897 (multiplicity 2)
Sc 0.0591 0.7500 0.1189 (multiplicity 2)
Sc 0.4321 0.7500 0.8635 (multiplicity 2)
Ga 0.3422 0.2500 0.6820 (multiplicity 2)

Summary:
Excess energy over the best structure of this formula in the dataset, meV per atom: 0
Formation energy, eV per atom: -0.31

The following is a DFT calculation (PBE-GGA) of a relaxed Er2ScGa crystal.

Cell: 7.2845 7.2845 7.2845 Å, 90.00 90.00 90.00°
Space group F-43m (No. 216)
Asymmetric unit:
Er 0.0000 0.0000 0.0000 (multiplicity 4)
Er 0.2500 0.2500 0.2500 (multiplicity 4)
Sc 0.0000 0.0000 0.5000 (multiplicity 4)
Ga 0.2500 0.2500 0.7500 (multiplicity 4)

Summary:
Excess energy over the best structure of this formula in the dataset, meV per atom: 190
Formation energy, eV per atom: -0.08

The following is a DFT calculation (PBE-GGA) of a relaxed ErSc3Ga2 crystal.

Cell: 4.6026 8.9827 6.3499 Å, 90.00 90.00 90.00°
Space group Pmc2_1 (No. 26)
Asymmetric unit:
Er 0.0000 0.0491 0.0000 (multiplicity 2)
Sc 0.0000 0.3170 0.6198 (multiplicity 2)
Sc 0.5000 0.1975 0.2889 (multiplicity 2)
Sc 0.5000 0.4492 0.9083 (multiplicity 2)
Ga 0.0000 0.3713 0.1705 (multiplicity 2)
Ga 0.5000 0.1342 0.7343 (multiplicity 2)

Summary:
Excess energy over the best structure of this formula in the dataset, meV per atom: 0
Formation energy, eV per atom: -0.46

The following is a DFT calculation (PBE-GGA) of a relaxed SmErScGa crystal.

Cell: 7.3884 7.3884 7.3884 Å, 90.00 90.00 90.00°
Space group F-43m (No. 216)
Asymmetric unit:
Sm 0.0000 0.0000 0.0000 (multiplicity 4)
Er 0.0000 0.0000 0.5000 (multiplicity 4)
Sc 0.2500 0.2500 0.7500 (multiplicity 4)
Ga 0.2500 0.2500 0.2500 (multiplicity 4)

Summary:
Formation energy, eV per atom: -0.14

The following is a DFT calculation (PBE-GGA) of a relaxed ErScGaSn crystal.

Cell: 7.1554 7.1554 7.1554 Å, 90.00 90.00 90.00°
Space group F-43m (No. 216)
Asymmetric unit:
Er 0.0000 0.0000 0.0000 (multiplicity 4)
Sc 0.0000 0.0000 0.5000 (multiplicity 4)
Ga 0.2500 0.2500 0.7500 (multiplicity 4)
Sn 0.2500 0.2500 0.2500 (multiplicity 4)

Summary:
Formation energy, eV per atom: -0.50

The following is a DFT calculation (PBE-GGA) of a relaxed TbErScGa crystal.

Cell: 7.3423 7.3423 7.3423 Å, 90.00 90.00 90.00°
Space group F-43m (No. 216)
Asymmetric unit:
Tb 0.0000 0.0000 0.0000 (multiplicity 4)
Er 0.0000 0.0000 0.5000 (multiplicity 4)
Sc 0.2500 0.2500 0.7500 (multiplicity 4)
Ga 0.2500 0.2500 0.2500 (multiplicity 4)

Summary:
Formation energy, eV per atom: -0.14

The following is a DFT calculation (PBE-GGA) of a relaxed ErScGaTc crystal.

Cell: 6.7634 6.7634 6.7634 Å, 90.00 90.00 90.00°
Space group F-43m (No. 216)
Asymmetric unit:
Er 0.0000 0.0000 0.0000 (multiplicity 4)
Sc 0.0000 0.0000 0.5000 (multiplicity 4)
Ga 0.2500 0.2500 0.2500 (multiplicity 4)
Tc 0.2500 0.2500 0.7500 (multiplicity 4)

Summary:
Formation energy, eV per atom: -0.33

The following is a DFT calculation (PBE-GGA) of a relaxed ErScTlGa crystal.

Cell: 7.1641 7.1641 7.1641 Å, 90.00 90.00 90.00°
Space group F-43m (No. 216)
Asymmetric unit:
Er 0.0000 0.0000 0.0000 (multiplicity 4)
Sc 0.0000 0.0000 0.5000 (multiplicity 4)
Tl 0.2500 0.2500 0.2500 (multiplicity 4)
Ga 0.2500 0.2500 0.7500 (multiplicity 4)

Summary:
Excess energy over the best structure of this formula in the dataset, meV per atom: 32
Formation energy, eV per atom: -0.39

The following is a DFT calculation (PBE-GGA) of a relaxed ErScTlGa crystal.

Cell: 3.4745 3.4745 7.5729 Å, 90.00 90.00 90.00°
Space group P4mm (No. 99)
Asymmetric unit:
Er 0.0000 0.0000 0.0000 (multiplicity 1)
Sc 0.0000 0.0000 0.5397 (multiplicity 1)
Tl 0.5000 0.5000 0.2840 (multiplicity 1)
Ga 0.5000 0.5000 0.7579 (multiplicity 1)

Summary:
Excess energy over the best structure of this formula in the dataset, meV per atom: 0
Formation energy, eV per atom: -0.42

The following is a DFT calculation (PBE-GGA) of a relaxed ErScZnGa crystal.

Cell: 6.8864 6.8864 6.8864 Å, 90.00 90.00 90.00°
Space group F-43m (No. 216)
Asymmetric unit:
Er 0.0000 0.0000 0.0000 (multiplicity 4)
Sc 0.0000 0.0000 0.5000 (multiplicity 4)
Zn 0.2500 0.2500 0.7500 (multiplicity 4)
Ga 0.2500 0.2500 0.2500 (multiplicity 4)

Summary:
Formation energy, eV per atom: -0.49

How do the records compare in V? In the order shown, they have 23.13 18.40 18.89 24.72 19.57 24.07 23.74 24.35 23.63 27.95 23.99 24.16 21.88 25.21 22.90 24.74 19.34 22.98 22.86 20.41 Å³/atom.